DFT (PBE) results for a relaxed TbPaCo2 crystal.

The structure in extended XYZ format:
```
4
Lattice="1.858 1.073 6.620 -1.858 1.073 6.620 0.000 -2.145 6.620" Properties=species:S:1:pos:R:3 pbc="T T T"
Tb 0.000 0.000 0.000
Pa 0.000 0.000 9.930
Co 0.000 0.000 4.787
Co 0.000 0.000 15.074
```

Values from the calculation:
ρ in g/cm3: 10.7
Energy of formation from the pure elements in eV per atom: -0.21
E_tot in eV/cell: -29.2
Distance to the lowest polymorph of the same formula in kJ per mole of atoms: 16.2